[1]
The following is a DFT calculation (PBE) of an optimized crystal structure of CaUSn6.

Properties
Formation energy from the elements ... -0.25 eV per atom
Crystal system ... tetragonal
Total DFT energy (no corrections) ... -4.909 eV/atom
Total moment ... 2.746 Bohr magnetons per cell
SG ... P4/mmm, No. 123

Structure (extended XYZ):
```
8
Lattice="4.682 0.000 0.000 0.000 4.682 0.000 0.000 0.000 9.471" Properties=species:S:1:pos:R:3 pbc="T T T"
Sn 2.341 2.341 4.736
Sn 2.341 0.000 2.404
Sn 0.000 2.341 2.404
U 0.000 0.000 4.736
Sn 2.341 2.341 0.000
Sn 2.341 0.000 7.067
Ca 0.000 0.000 0.000
Sn 0.000 2.341 7.067
```

---

[2]
The following is a DFT calculation (PBE) of an optimized crystal structure of Ca3USn12.

Properties
Formation energy from the elements ... -0.31 eV per atom
Crystal system ... tetragonal
Total DFT energy (no corrections) ... -4.397 eV/atom
Total moment ... 2.426 Bohr magnetons per cell
SG ... P4/mmm, No. 123

Structure (extended XYZ):
```
16
Lattice="4.706 0.000 0.000 0.000 4.706 0.000 0.000 0.000 19.082" Properties=species:S:1:pos:R:3 pbc="T T T"
Sn 2.353 2.353 9.541
Sn 2.353 0.000 16.762
Ca 0.000 0.000 9.541
Sn 2.353 0.000 2.320
Sn 2.353 0.000 11.951
Sn 2.353 2.353 14.352
Sn 0.000 2.353 7.131
Sn 0.000 2.353 2.320
Sn 0.000 2.353 16.762
Sn 2.353 2.353 4.730
Sn 2.353 0.000 7.131
Sn 2.353 2.353 0.000
Sn 0.000 2.353 11.951
U 0.000 0.000 0.000
Ca 0.000 0.000 14.409
Ca 0.000 0.000 4.672
```

---

[3]
The following is a DFT calculation (PBE) of an optimized crystal structure of CaV3Sn.

Properties
Formation energy from the elements ... 1.14 eV per atom
Crystal system ... cubic
Total DFT energy (no corrections) ... -5.534 eV/atom
Total moment ... 10.791 Bohr magnetons per cell
SG ... Pm-3m, No. 221
Energy relative to the lowest polymorph listed for this composition ... 0 meV/atom

Structure (extended XYZ):
```
5
Lattice="5.185 0.000 0.000 0.000 5.185 0.000 0.000 0.000 5.185" Properties=species:S:1:pos:R:3 pbc="T T T"
V 0.000 2.592 0.000
V 0.000 0.000 2.592
Sn 0.000 0.000 0.000
Ca 2.592 2.592 2.592
V 2.592 0.000 0.000
```

---

[4]
The following is a DFT calculation (PBE) of an optimized crystal structure of Ca3VSn.

Properties
Formation energy from the elements ... 0.49 eV per atom
Crystal system ... cubic
Total DFT energy (no corrections) ... -3.331 eV/atom
Total moment ... 4.885 Bohr magnetons per cell
SG ... Pm-3m, No. 221
Energy relative to the lowest polymorph listed for this composition ... 0 meV/atom

Structure (extended XYZ):
```
5
Lattice="5.910 0.000 0.000 0.000 5.910 0.000 0.000 0.000 5.910" Properties=species:S:1:pos:R:3 pbc="T T T"
Ca 0.000 2.955 0.000
Ca 0.000 0.000 2.955
V 2.955 2.955 2.955
Ca 2.955 0.000 0.000
Sn 0.000 0.000 0.000
```

---

[5]
The following is a DFT calculation (PBE) of an optimized crystal structure of CaV3Sn.

Properties
Formation energy from the elements ... 1.91 eV per atom
Crystal system ... cubic
Total DFT energy (no corrections) ... -4.762 eV/atom
Total moment ... 0.000 Bohr magnetons per cell
SG ... Pm-3m, No. 221
Energy relative to the lowest polymorph listed for this composition ... 772 meV/atom

Structure (extended XYZ):
```
5
Lattice="-4.502 -0.112 0.151 -0.087 -1.977 -4.048 0.167 -4.048 1.973" Properties=species:S:1:pos:R:3 pbc="T T T"
Sn -2.211 -3.068 -0.962
V -2.251 -0.056 0.076
Ca 0.000 0.000 0.000
V 0.084 -2.024 0.986
V -0.043 -0.988 -2.024
```

---

[6]
The following is a DFT calculation (PBE) of an optimized crystal structure of CaVSn.

Properties
Formation energy from the elements ... -0.17 eV per atom
Crystal system ... tetragonal
Total DFT energy (no corrections) ... -5.213 eV/atom
Total moment ... 0.001 Bohr magnetons per cell
SG ... P4/nmm, No. 129

Structure (extended XYZ):
```
6
Lattice="-1.439 -3.657 -1.398 3.507 -0.542 -2.193 3.394 -3.766 6.357" Properties=species:S:1:pos:R:3 pbc="T T T"
Sn 1.747 -4.565 3.921
Ca 4.606 -3.436 4.246
Sn 2.681 -1.300 0.640
V 1.697 -1.883 3.178
V 2.731 -3.982 1.383
Ca -0.178 -2.429 0.315
```